1.
Material: CaMnN2O
Method: DFT, GGA-PBEsol
State: relaxed

Results
Total energy in eV for the cell shown: -38.44
Uncorrected formation energy in eV/atom: -0.85
M_tot in μB/f.u.: 0.15

Cell and atoms, written as extended XYZ:
```
5
Lattice="3.5463 0.0000 0.0000 0.0000 3.5463 0.0000 0.0000 0.0000 4.1122" Properties=species:S:1:pos:R:3 pbc="T T T"
Ca 0.0000 0.0000 0.0000
Mn 1.7732 1.7732 2.0561
N 0.0000 1.7732 2.0561
N 1.7732 0.0000 2.0561
O 1.7732 1.7732 0.0000
```

***

2.
Material: BaCu2Ru
Method: DFT, GGA-PBEsol
State: relaxed

Results
Total energy in eV for the cell shown: -59.71
Formation enthalpy at 0 K in eV per atom: 0.272
Relative energy among the computed polymorphs in eV per atom: 0.000
M_tot in μB/f.u.: 0.00

Cell and atoms, written as extended XYZ:
```
12
Lattice="4.2275 0.0000 0.0000 -2.1138 3.6611 0.0000 0.0000 0.0000 16.3194" Properties=species:S:1:pos:R:3 pbc="T T T"
Ba 0.0000 0.0000 0.0000
Ba 0.0000 2.4408 10.8796
Ba 2.1138 1.2204 5.4398
Cu 0.0000 0.0000 3.0580
Cu 0.0000 0.0000 13.2613
Cu 0.0000 2.4408 7.8215
Cu 0.0000 2.4408 13.9376
Cu 2.1138 1.2204 2.3818
Cu 2.1138 1.2204 8.4978
Ru 0.0000 0.0000 8.1597
Ru 0.0000 2.4408 2.7199
Ru 2.1138 1.2204 13.5995
```

***

3.
Material: Mn4Ru
Method: DFT, GGA-PBEsol
State: relaxed

Results
Total energy in eV for the cell shown: -85.28
Formation enthalpy at 0 K in eV per atom: 1.316
M_tot in μB/f.u.: 9.89

Cell and atoms, written as extended XYZ:
```
10
Lattice="5.4048 0.0000 0.0000 0.0000 5.4048 0.0000 0.0000 0.0000 5.4048" Properties=species:S:1:pos:R:3 pbc="T T T"
Mn 1.3512 1.3512 1.3512
Mn 1.3512 1.3512 4.0536
Mn 1.3512 4.0536 1.3512
Mn 1.3512 4.0536 4.0536
Mn 4.0536 1.3512 1.3512
Mn 4.0536 1.3512 4.0536
Mn 4.0536 4.0536 1.3512
Mn 4.0536 4.0536 4.0536
Ru 0.0000 0.0000 0.0000
Ru 2.7024 2.7024 2.7024
```

***

4.
Material: SrSbCl2
Method: DFT, GGA-PBEsol
State: relaxed

Results
Total energy in eV for the cell shown: -14.79
Uncorrected formation energy in eV/atom: -1.09
Relative energy among the computed polymorphs in eV per atom: 0.207
M_tot in μB/f.u.: 0.00

Cell and atoms, written as extended XYZ:
```
4
Lattice="3.7456 0.0000 0.0000 0.0000 5.8705 0.0000 0.0000 0.0000 5.4016" Properties=species:S:1:pos:R:3 pbc="T T T"
Sr 0.0000 0.0000 0.0000
Sb 1.8728 2.9352 0.7490
Cl 0.0000 0.0000 2.6921
Cl 1.8728 2.9352 3.2005
```

***

5.
Material: Mn2ZnIn
Method: DFT, GGA-PBEsol
State: relaxed

Results
Total energy in eV for the cell shown: -23.36
Formation enthalpy at 0 K in eV per atom: 0.181
M_tot in μB/f.u.: 0.30

Cell and atoms, written as extended XYZ:
```
4
Lattice="2.7916 0.0000 0.0000 0.0000 2.7916 0.0000 0.0000 0.0000 7.2029" Properties=species:S:1:pos:R:3 pbc="T T T"
Mn 0.0000 0.0000 0.0000
Mn 1.3958 1.3958 1.2227
Zn 0.0000 0.0000 2.8839
In 1.3958 1.3958 5.2353
```

***

6.
Material: YCuRe2
Method: DFT, GGA-PBEsol
State: relaxed

Results
Total energy in eV for the cell shown: -136.64
Formation enthalpy at 0 K in eV per atom: 0.915
Relative energy among the computed polymorphs in eV per atom: 0.527
M_tot in μB/f.u.: 0.01

Cell and atoms, written as extended XYZ:
```
16
Lattice="6.3306 0.0000 0.0000 0.0000 6.3306 0.0000 0.0000 0.0000 6.3306" Properties=species:S:1:pos:R:3 pbc="T T T"
Y 0.0000 0.0000 0.0000
Y 0.0000 3.1653 3.1653
Y 3.1653 0.0000 3.1653
Y 3.1653 3.1653 0.0000
Cu 0.0000 0.0000 3.1653
Cu 0.0000 3.1653 0.0000
Cu 3.1653 0.0000 0.0000
Cu 3.1653 3.1653 3.1653
Re 1.5826 1.5826 1.5826
Re 1.5826 1.5826 4.7479
Re 1.5826 4.7479 1.5826
Re 1.5826 4.7479 4.7479
Re 4.7479 1.5826 1.5826
Re 4.7479 1.5826 4.7479
Re 4.7479 4.7479 1.5826
Re 4.7479 4.7479 4.7479
```

***

7.
Material: TePt2CCl
Method: DFT, GGA-PBEsol
State: relaxed

Results
Total energy in eV for the cell shown: -20.41
Uncorrected formation energy in eV/atom: 1.74
M_tot in μB/f.u.: 0.06

Cell and atoms, written as extended XYZ:
```
5
Lattice="5.0228 0.0000 0.0000 0.0000 5.0228 0.0000 0.0000 0.0000 4.1438" Properties=species:S:1:pos:R:3 pbc="T T T"
Te 0.0000 0.0000 0.0000
Pt 0.0000 2.5114 0.0000
Pt 2.5114 0.0000 0.0000
C 0.0000 0.0000 2.0719
Cl 2.5114 2.5114 2.0719
```

***

8.
Material: BeP2Rh
Method: DFT, GGA-PBEsol
State: relaxed

Results
Total energy in eV for the cell shown: -23.43
Formation enthalpy at 0 K in eV per atom: 0.072
M_tot in μB/f.u.: 0.00

Cell and atoms, written as extended XYZ:
```
4
Lattice="3.3780 0.0000 0.0000 0.0000 3.7245 0.0000 0.0000 0.0000 3.9278" Properties=species:S:1:pos:R:3 pbc="T T T"
Be 0.0000 0.0000 0.0000
P 1.6890 0.0000 1.9639
P 1.6890 1.8623 0.0000
Rh 0.0000 1.8623 1.9639
```

***

9.
Material: Zn2AgAu
Method: DFT, GGA-PBEsol
State: relaxed

Results
Total energy in eV for the cell shown: -10.84
Formation enthalpy at 0 K in eV per atom: -0.110
Relative energy among the computed polymorphs in eV per atom: 0.060
M_tot in μB/f.u.: 0.00

Cell and atoms, written as extended XYZ:
```
4
Lattice="4.7227 0.0000 0.0000 0.0000 2.8055 0.0000 -1.8516 0.0000 4.6479" Properties=species:S:1:pos:R:3 pbc="T T T"
Zn 0.0000 0.0000 0.0000
Zn -0.9258 1.4027 2.3240
Ag 1.4355 0.0000 2.3240
Au 2.3614 1.4027 0.0000
```

***

10.
Material: TlAg2Ru
Method: DFT, GGA-PBEsol
State: relaxed

Results
Total energy in eV for the cell shown: -17.58
Formation enthalpy at 0 K in eV per atom: 0.461
Relative energy among the computed polymorphs in eV per atom: 0.023
M_tot in μB/f.u.: 0.00

Cell and atoms, written as extended XYZ:
```
4
Lattice="3.3205 0.0000 0.0000 0.0000 3.3205 0.0000 0.0000 0.0000 6.1948" Properties=species:S:1:pos:R:3 pbc="T T T"
Tl 0.0000 0.0000 0.0000
Ag 0.0000 0.0000 3.2209
Ag 1.6602 1.6602 1.7652
Ru 1.6602 1.6602 4.7663
```

***

11.
Material: ZrIn2NiPd
Method: DFT, GGA-PBEsol
State: relaxed

Results
Total energy in eV for the cell shown: -26.70
Formation enthalpy at 0 K in eV per atom: 0.094
M_tot in μB/f.u.: 0.00

Cell and atoms, written as extended XYZ:
```
5
Lattice="4.6931 0.0000 0.0000 0.0000 4.6931 0.0000 0.0000 0.0000 4.6862" Properties=species:S:1:pos:R:3 pbc="T T T"
Zr 0.0000 0.0000 0.0000
In 0.0000 2.3465 2.3431
In 2.3465 0.0000 2.3431
Ni 0.0000 0.0000 2.3431
Pd 2.3465 2.3465 0.0000
```

***

12.
Material: LiCuOs2
Method: DFT, GGA-PBEsol
State: relaxed

Results
Total energy in eV for the cell shown: -29.28
Formation enthalpy at 0 K in eV per atom: 0.364
Relative energy among the computed polymorphs in eV per atom: 0.129
M_tot in μB/f.u.: 0.00

Cell and atoms, written as extended XYZ:
```
4
Lattice="2.7004 0.0000 0.0000 0.0000 4.4099 0.0000 0.0000 0.0000 4.4234" Properties=species:S:1:pos:R:3 pbc="T T T"
Li 0.0000 0.0000 0.0000
Cu 1.3502 2.2050 0.0000
Os 0.0000 2.2050 2.2117
Os 1.3502 0.0000 2.2117
```

***

13.
Material: BaCd2CI
Method: DFT, GGA-PBEsol
State: relaxed

Results
Total energy in eV for the cell shown: -14.10
Uncorrected formation energy in eV/atom: 0.37
M_tot in μB/f.u.: 0.00

Cell and atoms, written as extended XYZ:
```
5
Lattice="4.5026 0.0000 0.0000 0.0000 4.5026 0.0000 0.0000 0.0000 7.5667" Properties=species:S:1:pos:R:3 pbc="T T T"
Ba 0.0000 0.0000 0.0000
Cd 0.0000 2.2513 3.7834
Cd 2.2513 0.0000 3.7834
C 2.2513 2.2513 3.7834
I 2.2513 2.2513 0.0000
```